(1)
DFT (GGA-PBE) results for a relaxed structure of RbVIn3.

## Properties
* polymorph energy (0 for the lowest one): 0.00 kcal/mol of atoms
* space-group type: Pm-3m (221)
* electronic total energy: -17.3 eV for the cell shown
* formation energy: 95 kJ/mol of formula units

a b c (Å): 5.4227 5.4227 5.4227
angles (deg): 90.00 90.00 90.00
Last column: nearest neighbours and their distance in Å.
Fractional coordinates of all 5 atoms:
Rb 0.5000 0.5000 0.5000  12 In 3.83
In 0.0000 0.5000 0.0000  2 V 2.71
In 0.5000 0.0000 0.0000  2 V 2.71
In 0.0000 0.0000 0.5000  2 V 2.71
V 0.0000 0.0000 0.0000  6 In 2.71

(2)
DFT (GGA-PBE) results for a relaxed structure of Tl4SBr3.

## Properties
* space-group type: Pmn2_1 (31)
* electronic total energy: -46.2 eV for the cell shown
* ΔE_f (raw): -563.7 meV/atom

a b c (Å): 6.5749 10.3132 9.8817
angles (deg): 90.00 90.00 90.00
Last column: nearest neighbours and their distance in Å.
Fractional coordinates of all 16 atoms:
Br 0.0574 0.0857 0.5000  3 Tl 3.00-3.32
Br 0.5550 0.3375 0.7353  3 Tl 3.01-3.33
Br 0.0550 0.6625 0.2353  3 Tl 3.01-3.33
Br 0.0550 0.6625 0.7647  3 Tl 3.01-3.33
Br 0.5550 0.3375 0.2647  3 Tl 3.01-3.33
Br 0.5574 0.9143 0.0000  3 Tl 3.00-3.32
Tl 0.5620 0.0928 0.5000  1 S 3.08, 4 Br 3.26-3.43
Tl 0.6288 0.2020 0.0000  1 S 2.67
Tl 0.0607 0.3326 0.7319  1 S 2.96, 1 Br 3.25
Tl 0.5607 0.6674 0.2319  1 S 2.96, 1 Br 3.25
Tl 0.0607 0.3326 0.2681  1 S 2.96, 1 Br 3.25
Tl 0.1288 0.7980 0.5000  1 S 2.67
Tl 0.5607 0.6674 0.7681  1 S 2.96, 1 Br 3.25
Tl 0.0620 0.9072 0.0000  1 S 3.08, 4 Br 3.26-3.43
S 0.5356 0.7945 0.5000  3 Tl 2.67-2.96
S 0.0356 0.2055 0.0000  3 Tl 2.67-2.96

(3)
DFT (GGA-PBE) results for a relaxed structure of TlIrRhO6.

## Properties
* space-group type: P-31c (163)
* electronic total energy: -105.6 eV for the cell shown
* ΔE_f (raw): -494.5 meV/atom

a b c (Å): 5.4219 5.4219 8.3242
angles (deg): 90.00 90.00 120.00
Last column: nearest neighbours and their distance in Å.
Fractional coordinates of all 18 atoms:
Tl 0.6667 0.3333 0.7500  6 O 2.25
Tl 0.3333 0.6667 0.2500  6 O 2.25
O 0.9605 0.6439 0.3820  1 Ir 1.97, 1 Rh 2.08
O 0.3561 0.0395 0.1180  1 Ir 1.97, 1 Rh 2.08
O 0.0395 0.6834 0.8820  1 Ir 1.97, 1 Rh 2.08
O 0.0395 0.3561 0.6180  1 Ir 1.97, 1 Rh 2.08
O 0.6834 0.0395 0.3820  1 Ir 1.97, 1 Rh 2.08
O 0.9605 0.3166 0.1180  1 Ir 1.97, 1 Rh 2.08
O 0.3166 0.3561 0.8820  1 Ir 1.97, 1 Rh 2.08
O 0.3166 0.9605 0.6180  1 Ir 1.97, 1 Rh 2.08
O 0.6439 0.6834 0.6180  1 Ir 1.97, 1 Rh 2.08
O 0.6439 0.9605 0.8820  1 Ir 1.97, 1 Rh 2.08
O 0.3561 0.3166 0.3820  1 Ir 1.97, 1 Rh 2.08
O 0.6834 0.6439 0.1180  1 Ir 1.97, 1 Rh 2.08
Rh 0.0000 0.0000 0.5000  6 O 2.08
Rh 0.0000 0.0000 0.0000  6 O 2.08
Ir 0.6667 0.3333 0.2500  6 O 1.97
Ir 0.3333 0.6667 0.7500  6 O 1.97